1.
Compound: LaY2Mg2
Source: Alexandria via LeMat-Bulk
Functional: GGA-PBE
Structure: optimized geometry

Structure (extended XYZ):
```
10
Lattice="3.7819 0.0000 -0.5067 0.0000 5.5675 0.0000 -0.0235 0.0000 14.1961" Properties=species:S:1:pos:R:3 pbc="T T T"
La 3.2014 4.1756 9.5267
La 0.5571 1.3919 4.1626
Y 0.1715 4.1756 1.2960
Y 3.5869 1.3919 12.3934
Y 0.8849 4.1756 6.6029
Y 2.8735 1.3919 7.0865
Mg 2.4154 4.1756 3.6787
Mg 1.3430 1.3919 10.0106
Mg 1.6867 4.1756 12.5821
Mg 2.0717 1.3919 1.1073
```

Output
SG	Cmcm (63)



2.
Compound: LaY2Mg2
Source: Alexandria via LeMat-Bulk
Functional: GGA-PBE
Structure: optimized geometry

Structure (extended XYZ):
```
10
Lattice="-8.9880 -0.9515 1.3211 0.0099 -7.4438 -5.2938 0.6436 -2.0586 2.8959" Properties=species:S:1:pos:R:3 pbc="T T T"
Y -3.3000 -6.8124 -4.1093
Y -7.7963 -5.5296 -2.1982
Y -5.6780 -1.5829 0.1366
Y -1.1817 -2.8657 -1.7745
Mg -1.1528 -6.1347 -1.8536
Mg -5.6451 -7.8790 -2.0952
Mg -7.1817 -4.3192 0.7768
Mg -2.6894 -2.5749 1.0184
La 0.0000 0.0000 0.0000
La -4.4890 -4.1977 -1.9864
```

Output
SG	P4/mbm (127)



3.
Compound: LaY2Mg2
Source: Alexandria via LeMat-Bulk
Functional: GGA-PBE
Structure: optimized geometry

Structure (extended XYZ):
```
10
Lattice="9.1892 0.0000 0.0000 0.0000 9.1892 0.0000 0.0000 0.0000 3.6242" Properties=species:S:1:pos:R:3 pbc="T T T"
Y 1.5977 6.1923 1.8121
Y 6.1923 7.5914 1.8121
Y 7.5914 2.9968 1.8121
Y 2.9968 1.5977 1.8121
Mg 3.4813 8.0759 0.0000
Mg 8.0759 5.7079 0.0000
Mg 5.7079 1.1133 0.0000
Mg 1.1133 3.4813 0.0000
La 0.0000 0.0000 0.0000
La 4.5946 4.5946 0.0000
```

Output
SG	P4/mbm (127)



Relative energies with respect to the most stable structure, expressed in meV/atom: 1 0; 2 95; 3 107.



1.
Compound: LaYMgZn
Source: Alexandria via LeMat-Bulk
Functional: GGA-PBE
Structure: optimized geometry

Structure (extended XYZ):
```
4
Lattice="-1.8042 3.0985 -0.8562 -3.0504 -1.9600 -0.6649 -2.1844 0.8251 7.5891" Properties=species:S:1:pos:R:3 pbc="T T T"
La -1.9204 0.7254 6.6718
Y -0.7213 0.2725 2.5060
Mg -3.7123 1.0546 3.7036
Zn -2.7122 0.6768 0.2291
```

Output
SG	P4mm (99)



2.
Compound: LaYMgZn
Source: Alexandria via LeMat-Bulk
Functional: GGA-PBE
Structure: optimized geometry

Structure (extended XYZ):
```
4
Lattice="5.3369 0.0000 0.0000 2.6685 4.6219 0.0000 2.6685 1.5406 4.3576" Properties=species:S:1:pos:R:3 pbc="T T T"
Y 8.0054 4.6219 3.2682
Zn 0.0000 0.0000 0.0000
Mg 5.3369 3.0813 2.1788
La 2.6685 1.5406 1.0894
```

Output
SG	F-43m (216)



Relative energies with respect to the most stable structure, expressed in meV/atom: 1 0; 2 34.



1.
Compound: LaMg6Zn
Source: Alexandria via LeMat-Bulk
Functional: GGA-PBE
Structure: optimized geometry

Structure (extended XYZ):
```
8
Lattice="3.0106 -6.7855 0.0000 3.0106 6.7855 0.0000 0.0000 0.0000 4.8621" Properties=species:S:1:pos:R:3 pbc="T T T"
La 3.0106 2.7450 2.4311
Mg 4.4750 -0.8368 2.4311
Mg 1.5462 -0.8368 2.4311
Mg 4.5187 1.0095 0.0000
Mg 1.5025 1.0095 0.0000
Mg 3.0106 -2.9180 0.0000
Mg 3.0106 4.9820 0.0000
Zn 3.0106 -5.1543 2.4311
```

Output
SG	Amm2 (38)



2.
Compound: LaMg6Zn
Source: Alexandria via LeMat-Bulk
Functional: GGA-PBE
Structure: optimized geometry

Structure (extended XYZ):
```
8
Lattice="-6.6849 -1.9306 -1.6977 4.3931 -3.0032 4.7936 -1.7339 2.9701 3.4498" Properties=species:S:1:pos:R:3 pbc="T T T"
La 0.2398 -1.2000 4.5928
Mg 0.1265 -1.3236 1.2032
Mg -0.9994 -3.7475 2.7241
Mg -3.3687 -2.2517 0.2455
Mg -2.2237 0.2994 2.0637
Mg -3.3446 -2.1138 3.5780
Mg -5.9851 -0.5972 0.9452
Zn 2.9203 -2.8606 3.9305
```

Output
SG	Amm2 (38)



Relative energies with respect to the most stable structure, expressed in meV/atom: 1 0; 2 14.



1.
Compound: LaMgZn3
Source: Alexandria via LeMat-Bulk
Functional: GGA-PBE
Structure: optimized geometry

Structure (extended XYZ):
```
5
Lattice="4.9219 0.0000 0.0000 0.0000 4.9219 0.0000 0.0000 0.0000 4.9219" Properties=species:S:1:pos:R:3 pbc="T T T"
Zn 0.0000 2.4609 0.0000
Zn 0.0000 0.0000 2.4609
Zn 2.4609 0.0000 0.0000
Mg 0.0000 0.0000 0.0000
La 2.4609 2.4609 2.4609
```

Output
SG	Pm-3m (221)



2.
Compound: LaMgZn3
Source: Alexandria via LeMat-Bulk
Functional: GGA-PBE
Structure: optimized geometry

Structure (extended XYZ):
```
5
Lattice="5.7341 0.0000 0.0000 0.0000 5.7341 0.0000 0.0000 0.0000 5.7341" Properties=species:S:1:pos:R:3 pbc="T T T"
Zn 0.0000 2.8670 0.0000
Zn 0.0000 0.0000 2.8670
Zn 2.8670 0.0000 0.0000
Mg 2.8670 2.8670 2.8670
La 0.0000 0.0000 0.0000
```

Output
SG	Pm-3m (221)



Relative energies with respect to the most stable structure, expressed in meV/atom: 1 0; 2 713.